[1]
Here is Al2Ga3Ag3 after structural relaxation from Alexandria. Energies are from GGA-PBE.

Geometry as POSCAR:
```
Al2Ga3Ag3
1.0
-4.1930 -1.3715 1.7297
1.4081 -5.2179 -0.7239
3.4526 3.5944 4.7288
Ga Al Ag
3 2 3
direct
0.5000 0.5000 0.0000 Ga
0.3716 0.8016 0.7433 Ga
0.6284 0.1984 0.2567 Ga
0.2440 0.1851 0.4879 Al
0.7560 0.8149 0.5121 Al
0.1284 0.6162 0.2567 Ag
0.0000 0.0000 0.0000 Ag
0.8716 0.3838 0.7433 Ag
```

Results
- N(E_F): 0.35 states/eV per atom
- Volume: 18.13 Å³ per atom
- Calculated total energy: -24.679 eV/f.u.



[2]
Here is ThGe2P2Pt7 after structural relaxation from Alexandria. Energies are from GGA-PBE.

Geometry as POSCAR:
```
ThGe2P2Pt7
1.0
3.9715 0.0276 -0.0203
0.0324 3.9715 -0.0203
1.9709 1.9685 14.9910
Pt Th Ge P
7 1 2 2
direct
0.4259 0.9261 0.1568 Pt
0.5000 0.5000 0.0000 Pt
0.5741 0.0739 0.8432 Pt
0.3258 0.3258 0.3977 Pt
0.9261 0.4259 0.1568 Pt
0.6742 0.6742 0.6023 Pt
0.0739 0.5741 0.8432 Pt
0.0000 0.0000 0.0000 Th
0.2481 0.2481 0.5673 Ge
0.7519 0.7519 0.4327 Ge
0.3847 0.3847 0.2447 P
0.6153 0.6153 0.7553 P
```

Results
- N(E_F): 0.39 states/eV per atom
- Volume: 19.73 Å³ per atom
- Calculated total energy: -76.349 eV/f.u.